Compound: IrPbO3
Source: the Open Quantum Materials Database
Functional: PBE
Structure: relaxed

Geometry as POSCAR:
```
IrPbO3
1.0
-0.079 3.371 -4.394
-3.887 -3.364 -2.512
-5.775 4.193 3.320
Ir O Pb
4 12 4
direct
0.000 0.500 0.500 Ir
0.500 0.000 0.000 Ir
0.500 0.000 0.500 Ir
0.000 0.500 0.000 Ir
0.413 0.962 0.250 O
0.203 0.205 0.542 O
0.913 0.538 0.750 O
0.297 0.705 0.542 O
0.797 0.795 0.458 O
0.203 0.205 0.958 O
0.797 0.795 0.042 O
0.087 0.462 0.250 O
0.297 0.705 0.958 O
0.703 0.295 0.042 O
0.703 0.295 0.458 O
0.587 0.038 0.750 O
0.509 0.540 0.250 Pb
0.991 0.040 0.250 Pb
0.009 0.960 0.750 Pb
0.491 0.460 0.750 Pb
```

Properties
total magnetic moment	0.0	μB/f.u.
volume	12.5	Å³ per atom
symmetry	Pnma
raw total energy	-6.241	eV/atom